PBE ZnFeCuMo, optimized geometry; formation enthalpy at 0 K = 17.51 kJ per mole of atoms; total DFT energy (no corrections) = -5.85 eV per atom; total magnetization = 1.1 μB per formula unit; distance to the lowest polymorph of the same formula = 0.000 eV/atom; calculated volume = 52.0 Å³/cell
1.0
0.000 2.963 2.963
2.963 0.000 2.963
2.963 2.963 0.000
Cu Fe Mo Zn
1 1 1 1
direct
0.750 0.750 0.750 Cu
0.250 0.250 0.250 Fe
0.500 0.500 0.500 Mo
0.000 0.000 0.000 Zn